1.
## Fe2PIr (PBE)

Data for a relaxed Fe2PIr crystal.

a = 4.358 Å, b = 4.358 Å, c = 4.358 Å
α = 130.66°, β = 130.66°, γ = 72.36°
Atoms (fractional coordinates):
Fe  0.000  0.000  0.000
Fe  0.750  0.250  0.500
P  0.500  0.500  0.000
Ir  0.250  0.750  0.500

Formation enthalpy at 0 K, eV per formula unit: 0.07
Magnetic moment, μB/cell: 0.02
V, Å³ per atom: 11.639
Calculated total energy, eV/atom: -7.782


2.
## Fe2PIr (PBE)

Data for a relaxed Fe2PIr crystal.

a = 2.701 Å, b = 2.701 Å, c = 6.304 Å
α = 90.00°, β = 90.00°, γ = 90.00°
Atoms (fractional coordinates):
Fe  0.000  0.000  0.208
Fe  0.000  0.000  0.792
P  0.500  0.500  0.000
Ir  0.500  0.500  0.500

Formation enthalpy at 0 K, eV per formula unit: -0.60
Magnetic moment, μB/cell: 1.49
V, Å³ per atom: 11.499
Calculated total energy, eV/atom: -7.949


3.
## FePIr3 (PBE)

Data for a relaxed FePIr3 crystal.

a = 4.445 Å, b = 4.445 Å, c = 4.445 Å
α = 90.00°, β = 90.00°, γ = 90.00°
Atoms (fractional coordinates):
Fe  0.000  0.000  0.000
P  0.500  0.500  0.500
Ir  0.000  0.000  0.500
Ir  0.000  0.500  0.000
Ir  0.500  0.000  0.000

Energy above the most stable polymorph in this dataset, meV per atom: 666
Formation enthalpy at 0 K, eV per formula unit: 8.32
Magnetic moment, μB/cell: 0.00
V, Å³ per atom: 17.570
Calculated total energy, eV/atom: -6.428


4.
## FePIr (PBE)

Data for a relaxed FePIr crystal.

a = 4.025 Å, b = 4.025 Å, c = 2.835 Å
α = 90.00°, β = 90.00°, γ = 120.00°
Atoms (fractional coordinates):
Fe  0.000  0.000  0.000
P  0.667  0.333  0.502
Ir  0.333  0.667  0.500

Formation enthalpy at 0 K, eV per formula unit: -0.47
Magnetic moment, μB/cell: 2.69
V, Å³ per atom: 13.258
Calculated total energy, eV/atom: -7.734


5.
## Fe2PIr (PBE)

Data for a relaxed Fe2PIr crystal.

a = 2.861 Å, b = 2.861 Å, c = 5.971 Å
α = 90.00°, β = 90.00°, γ = 90.00°
Atoms (fractional coordinates):
Fe  0.000  0.000  0.000
Fe  0.500  0.500  0.253
P  0.500  0.500  0.806
Ir  0.000  0.000  0.539

Formation enthalpy at 0 K, eV per formula unit: -0.45
Magnetic moment, μB/cell: 4.60
V, Å³ per atom: 12.223
Calculated total energy, eV/atom: -7.913


6.
## Fe2PIr (PBE)

Data for a relaxed Fe2PIr crystal.

a = 7.784 Å, b = 7.784 Å, c = 7.784 Å
α = 19.72°, β = 19.72°, γ = 19.72°
Atoms (fractional coordinates):
Fe  0.241  0.241  0.241
Fe  0.759  0.759  0.759
P  0.500  0.500  0.500
Ir  0.000  0.000  0.000

Formation enthalpy at 0 K, eV per formula unit: -0.32
Magnetic moment, μB/cell: 0.41
V, Å³ per atom: 11.735
Calculated total energy, eV/atom: -7.880


7.
## FeP4Ir (PBE)

Data for a relaxed FeP4Ir crystal.

a = 4.913 Å, b = 4.913 Å, c = 4.913 Å
α = 60.00°, β = 60.00°, γ = 60.00°
Atoms (fractional coordinates):
Fe  0.000  0.000  0.000
P  0.373  0.373  0.373
P  0.373  0.373  0.880
P  0.373  0.880  0.373
P  0.880  0.373  0.373
Ir  0.750  0.750  0.750

Formation enthalpy at 0 K, eV per formula unit: 5.07
Magnetic moment, μB/cell: 2.66
V, Å³ per atom: 13.977
Calculated total energy, eV/atom: -5.649


8.
## Pa2FeP3Ir4 (PBE)

Data for a relaxed Pa2FeP3Ir4 crystal.

a = 4.021 Å, b = 4.021 Å, c = 10.151 Å
α = 90.00°, β = 90.00°, γ = 90.00°
Atoms (fractional coordinates):
Pa  0.000  0.500  0.246
Pa  0.500  0.000  0.754
Fe  0.500  0.500  0.000
P  0.000  0.000  0.000
P  0.000  0.500  0.635
P  0.500  0.000  0.365
Ir  0.000  0.000  0.500
Ir  0.000  0.500  0.860
Ir  0.500  0.000  0.140
Ir  0.500  0.500  0.500

Formation enthalpy at 0 K, eV per formula unit: -7.84
Magnetic moment, μB/cell: 2.47
V, Å³ per atom: 16.411
Calculated total energy, eV/atom: -8.697


9.
## Pa2FeP4Ir3 (PBE)

Data for a relaxed Pa2FeP4Ir3 crystal.

a = 4.170 Å, b = 4.170 Å, c = 9.243 Å
α = 90.00°, β = 90.00°, γ = 90.00°
Atoms (fractional coordinates):
Pa  0.000  0.500  0.246
Pa  0.500  0.000  0.754
Fe  0.500  0.500  0.000
P  0.000  0.000  0.500
P  0.000  0.500  0.871
P  0.500  0.000  0.129
P  0.500  0.500  0.500
Ir  0.000  0.000  0.000
Ir  0.000  0.500  0.615
Ir  0.500  0.000  0.385

Formation enthalpy at 0 K, eV per formula unit: -9.18
Magnetic moment, μB/cell: 1.19
V, Å³ per atom: 16.075
Calculated total energy, eV/atom: -8.486


10.
## Pm2FeP4Ir3 (PBE)

Data for a relaxed Pm2FeP4Ir3 crystal.

a = 4.147 Å, b = 4.147 Å, c = 9.500 Å
α = 90.00°, β = 90.00°, γ = 90.00°
Atoms (fractional coordinates):
Pm  0.000  0.500  0.245
Pm  0.500  0.000  0.755
Fe  0.000  0.000  0.500
P  0.000  0.000  0.000
P  0.000  0.500  0.630
P  0.500  0.000  0.370
P  0.500  0.500  0.000
Ir  0.000  0.500  0.884
Ir  0.500  0.000  0.116
Ir  0.500  0.500  0.500

Formation enthalpy at 0 K, eV per formula unit: -9.56
Magnetic moment, μB/cell: 0.00
V, Å³ per atom: 16.340
Calculated total energy, eV/atom: -7.575


11.
## Pm2FeP3Ir4 (PBE)

Data for a relaxed Pm2FeP3Ir4 crystal.

a = 4.106 Å, b = 4.106 Å, c = 9.913 Å
α = 90.00°, β = 90.00°, γ = 90.00°
Atoms (fractional coordinates):
Pm  0.000  0.500  0.245
Pm  0.500  0.000  0.755
Fe  0.500  0.500  0.000
P  0.000  0.000  0.000
P  0.000  0.500  0.638
P  0.500  0.000  0.362
Ir  0.000  0.000  0.500
Ir  0.000  0.500  0.871
Ir  0.500  0.000  0.129
Ir  0.500  0.500  0.500

Formation enthalpy at 0 K, eV per formula unit: -8.79
Magnetic moment, μB/cell: 2.43
V, Å³ per atom: 16.716
Calculated total energy, eV/atom: -7.842


12.
## Pu2FePIr (PBE)

Data for a relaxed Pu2FePIr crystal.

a = 3.869 Å, b = 3.869 Å, c = 12.593 Å
α = 90.00°, β = 90.00°, γ = 90.00°
Atoms (fractional coordinates):
Pu  0.250  0.250  0.132
Pu  0.250  0.250  0.678
Pu  0.750  0.750  0.322
Pu  0.750  0.750  0.868
Fe  0.250  0.750  0.500
Fe  0.750  0.250  0.500
P  0.250  0.250  0.404
P  0.750  0.750  0.596
Ir  0.250  0.250  0.903
Ir  0.750  0.750  0.097

Formation enthalpy at 0 K, eV per formula unit: -2.87
Magnetic moment, μB/cell: 19.64
V, Å³ per atom: 18.849
Calculated total energy, eV/atom: -10.853


13.
## Rb2FePIr (PBE)

Data for a relaxed Rb2FePIr crystal.

a = 6.593 Å, b = 6.593 Å, c = 4.356 Å
α = 90.00°, β = 90.00°, γ = 90.00°
Atoms (fractional coordinates):
Rb  0.000  0.500  0.000
Rb  0.500  0.000  0.000
Fe  0.000  0.000  0.500
P  0.500  0.500  0.000
Ir  0.500  0.500  0.500

Formation enthalpy at 0 K, eV per formula unit: 3.61
Magnetic moment, μB/cell: 3.47
V, Å³ per atom: 37.864
Calculated total energy, eV/atom: -4.212


14.
## FePIrS2 (PBE)

Data for a relaxed FePIrS2 crystal.

a = 4.848 Å, b = 4.848 Å, c = 4.357 Å
α = 90.00°, β = 90.00°, γ = 90.00°
Atoms (fractional coordinates):
Fe  0.000  0.000  0.000
P  0.500  0.500  0.000
Ir  0.500  0.500  0.500
S  0.000  0.500  0.500
S  0.500  0.000  0.500

Energy relative to the elements, uncorrected, eV/atom: 0.896
Energy above the most stable polymorph in this dataset, meV per atom: 23
Magnetic moment, μB/cell: 3.80
V, Å³ per atom: 20.480
Calculated total energy, eV/atom: -5.302


15.
## FePIrS2 (PBE)

Data for a relaxed FePIrS2 crystal.

a = 4.318 Å, b = 4.318 Å, c = 4.234 Å
α = 90.00°, β = 90.00°, γ = 90.00°
Atoms (fractional coordinates):
Fe  0.000  0.000  0.000
P  0.000  0.000  0.500
Ir  0.500  0.500  0.500
S  0.000  0.500  0.000
S  0.500  0.000  0.000

Energy relative to the elements, uncorrected, eV/atom: 0.873
Energy above the most stable polymorph in this dataset, meV per atom: 0
Magnetic moment, μB/cell: 0.89
V, Å³ per atom: 15.785
Calculated total energy, eV/atom: -5.325


16.
## FeSb2PIr (PBE)

Data for a relaxed FeSb2PIr crystal.

a = 4.942 Å, b = 4.942 Å, c = 4.029 Å
α = 90.00°, β = 90.00°, γ = 90.00°
Atoms (fractional coordinates):
Fe  0.000  0.000  0.000
Sb  0.000  0.500  0.000
Sb  0.500  0.000  0.000
P  0.000  0.000  0.500
Ir  0.500  0.500  0.500

Energy relative to the elements, uncorrected, eV/atom: 0.626
Magnetic moment, μB/cell: 0.00
V, Å³ per atom: 19.682
Calculated total energy, eV/atom: -5.570


17.
## FeSiP2Ir (PBE)

Data for a relaxed FeSiP2Ir crystal.

a = 4.590 Å, b = 4.590 Å, c = 4.591 Å
α = 90.00°, β = 90.00°, γ = 90.00°
Atoms (fractional coordinates):
Fe  0.000  0.000  0.000
Si  0.500  0.500  0.000
P  0.000  0.500  0.500
P  0.500  0.000  0.500
Ir  0.500  0.500  0.500

Energy relative to the elements, uncorrected, eV/atom: 1.032
Magnetic moment, μB/cell: 2.88
V, Å³ per atom: 19.346
Calculated total energy, eV/atom: -5.682


18.
## Sm2FeP3Ir4 (PBE)

Data for a relaxed Sm2FeP3Ir4 crystal.

a = 4.097 Å, b = 4.097 Å, c = 9.907 Å
α = 90.00°, β = 90.00°, γ = 90.00°
Atoms (fractional coordinates):
Sm  0.000  0.500  0.246
Sm  0.500  0.000  0.754
Fe  0.500  0.500  0.000
P  0.000  0.000  0.000
P  0.000  0.500  0.638
P  0.500  0.000  0.362
Ir  0.000  0.000  0.500
Ir  0.000  0.500  0.871
Ir  0.500  0.000  0.129
Ir  0.500  0.500  0.500

Formation enthalpy at 0 K, eV per formula unit: -8.82
Magnetic moment, μB/cell: 2.42
V, Å³ per atom: 16.625
Calculated total energy, eV/atom: -7.840


19.
## FeSnPIr2 (PBE)

Data for a relaxed FeSnPIr2 crystal.

a = 4.485 Å, b = 4.485 Å, c = 4.753 Å
α = 90.00°, β = 90.00°, γ = 90.00°
Atoms (fractional coordinates):
Fe  0.000  0.000  0.000
Sn  0.000  0.000  0.500
P  0.500  0.500  0.500
Ir  0.000  0.500  0.000
Ir  0.500  0.000  0.000

Formation enthalpy at 0 K, eV per formula unit: 6.24
Magnetic moment, μB/cell: 0.00
V, Å³ per atom: 19.127
Calculated total energy, eV/atom: -5.872


20.
## Tb2FeP3Ir4 (PBE)

Data for a relaxed Tb2FeP3Ir4 crystal.

a = 4.063 Å, b = 4.063 Å, c = 9.899 Å
α = 90.00°, β = 90.00°, γ = 90.00°
Atoms (fractional coordinates):
Tb  0.000  0.500  0.247
Tb  0.500  0.000  0.753
Fe  0.500  0.500  0.000
P  0.000  0.000  0.000
P  0.000  0.500  0.638
P  0.500  0.000  0.362
Ir  0.000  0.000  0.500
Ir  0.000  0.500  0.869
Ir  0.500  0.000  0.131
Ir  0.500  0.500  0.500

Formation enthalpy at 0 K, eV per formula unit: -8.94
Magnetic moment, μB/cell: 2.41
V, Å³ per atom: 16.338
Calculated total energy, eV/atom: -7.834


21.
## Th2FeP3Ir4 (PBE)

Data for a relaxed Th2FeP3Ir4 crystal.

a = 4.112 Å, b = 4.112 Å, c = 10.069 Å
α = 90.00°, β = 90.00°, γ = 90.00°
Atoms (fractional coordinates):
Th  0.000  0.500  0.249
Th  0.500  0.000  0.751
Fe  0.500  0.500  0.000
P  0.000  0.000  0.000
P  0.000  0.500  0.637
P  0.500  0.000  0.363
Ir  0.000  0.000  0.500
Ir  0.000  0.500  0.870
Ir  0.500  0.000  0.130
Ir  0.500  0.500  0.500

Formation enthalpy at 0 K, eV per formula unit: -9.12
Magnetic moment, μB/cell: 2.85
V, Å³ per atom: 17.027
Calculated total energy, eV/atom: -8.409


22.
## Th2FeP4Ir3 (PBE)

Data for a relaxed Th2FeP4Ir3 crystal.

a = 4.200 Å, b = 4.200 Å, c = 9.429 Å
α = 90.00°, β = 90.00°, γ = 90.00°
Atoms (fractional coordinates):
Th  0.000  0.500  0.250
Th  0.500  0.000  0.750
Fe  0.000  0.000  0.500
P  0.000  0.000  0.000
P  0.000  0.500  0.629
P  0.500  0.000  0.371
P  0.500  0.500  0.000
Ir  0.000  0.500  0.887
Ir  0.500  0.000  0.113
Ir  0.500  0.500  0.500

Formation enthalpy at 0 K, eV per formula unit: -10.23
Magnetic moment, μB/cell: 0.59
V, Å³ per atom: 16.637
Calculated total energy, eV/atom: -8.175


23.
## U2Fe3P4Ir (PBE)

Data for a relaxed U2Fe3P4Ir crystal.

a = 3.949 Å, b = 3.949 Å, c = 9.117 Å
α = 90.00°, β = 90.00°, γ = 90.00°
Atoms (fractional coordinates):
U  0.000  0.500  0.236
U  0.500  0.000  0.764
Fe  0.000  0.500  0.885
Fe  0.500  0.000  0.115
Fe  0.500  0.500  0.500
P  0.000  0.000  0.000
P  0.000  0.500  0.644
P  0.500  0.000  0.356
P  0.500  0.500  0.000
Ir  0.000  0.000  0.500

Formation enthalpy at 0 K, eV per formula unit: -7.98
Magnetic moment, μB/cell: 1.54
V, Å³ per atom: 14.219
Calculated total energy, eV/atom: -8.644


24.
## UFeP2Ir2 (PBE)

Data for a relaxed UFeP2Ir2 crystal.

a = 3.666 Å, b = 8.046 Å, c = 6.161 Å
α = 90.00°, β = 90.00°, γ = 90.00°
Atoms (fractional coordinates):
U  0.000  0.044  0.000
U  0.000  0.956  0.500
Fe  0.500  0.182  0.667
Fe  0.500  0.818  0.167
P  0.000  0.367  0.781
P  0.000  0.633  0.281
P  0.500  0.181  0.303
P  0.500  0.819  0.803
Ir  0.000  0.356  0.404
Ir  0.000  0.644  0.904
Ir  0.500  0.373  0.026
Ir  0.500  0.627  0.526

Formation enthalpy at 0 K, eV per formula unit: -2.78
Magnetic moment, μB/cell: 1.95
V, Å³ per atom: 15.145
Calculated total energy, eV/atom: -8.512


25.
## Y2FeP4Ir3 (PBE)

Data for a relaxed Y2FeP4Ir3 crystal.

a = 4.105 Å, b = 4.105 Å, c = 9.456 Å
α = 90.00°, β = 90.00°, γ = 90.00°
Atoms (fractional coordinates):
Y  0.000  0.500  0.246
Y  0.500  0.000  0.754
Fe  0.000  0.000  0.500
P  0.000  0.000  0.000
P  0.000  0.500  0.630
P  0.500  0.000  0.370
P  0.500  0.500  0.000
Ir  0.000  0.500  0.881
Ir  0.500  0.000  0.119
Ir  0.500  0.500  0.500

Formation enthalpy at 0 K, eV per formula unit: -9.40
Magnetic moment, μB/cell: 0.00
V, Å³ per atom: 15.938
Calculated total energy, eV/atom: -7.901